1.
! SrSI (PBE-GGA, optimized geometry); values from VASP
! * size of the total moment: 0.0 Bohr magnetons per cell
! * calculated volume: 39.13 Å³ per atom
! * raw formation energy: -1.54 eV per atom
! * electronic total energy: -23.96 eV for the cell shown
&SYSTEM
  ibrav = 0, nat = 6, ntyp = 3
/
ATOMIC_SPECIES
Sr 87.62 Sr.upf
I 126.90 I.upf
S 32.06 S.upf
ATOMIC_POSITIONS angstrom
Sr 3.4880 3.6188 2.6862
Sr 1.5565 1.6148 7.2660
I 1.2890 1.3373 1.6201
S 0.1867 0.1937 4.9120
S 4.8578 5.0399 5.0402
I 3.7555 3.8963 8.3321
CELL_PARAMETERS angstrom
4.5716 0.9803 -0.8753
0.8114 4.6046 -0.8753
-0.3385 -0.3512 11.7027

---

2.
! Sr3SI (PBE-GGA, optimized geometry); values from VASP
! * size of the total moment: 0.6 Bohr magnetons per cell
! * energy above the most stable polymorph in this dataset: 0 meV per atom
! * calculated volume: 40.88 Å³ per atom
! * raw formation energy: -0.90 eV per atom
! * electronic total energy: -15.22 eV for the cell shown
&SYSTEM
  ibrav = 0, nat = 5, ntyp = 3
/
ATOMIC_SPECIES
Sr 87.62 Sr.upf
S 32.06 S.upf
I 126.90 I.upf
ATOMIC_POSITIONS angstrom
Sr -1.2399 1.9766 1.7973
S 0.0000 0.0000 0.0000
Sr -1.6963 0.9483 -2.2131
Sr -2.0639 -1.9668 0.7392
I -5.0001 0.9581 0.3234
CELL_PARAMETERS angstrom
-3.3926 1.8966 -4.4262
-4.1279 -3.9336 1.4785
-2.4797 3.9532 3.5946

---

3.
! SrSI3 (PBE-GGA, optimized geometry); values from VASP
! * size of the total moment: 3.0 Bohr magnetons per cell
! * energy above the most stable polymorph in this dataset: 233 meV per atom
! * calculated volume: 53.21 Å³ per atom
! * raw formation energy: -0.24 eV per atom
! * electronic total energy: -11.67 eV for the cell shown
&SYSTEM
  ibrav = 0, nat = 5, ntyp = 3
/
ATOMIC_SPECIES
Sr 87.62 Sr.upf
I 126.90 I.upf
S 32.06 S.upf
ATOMIC_POSITIONS angstrom
Sr 0.0000 0.0000 0.0000
I -2.9329 1.0208 -0.8348
S -4.4227 0.1879 3.3805
I -1.3058 -2.5321 1.4914
I -0.1839 1.6992 2.7239
CELL_PARAMETERS angstrom
-5.8658 2.0416 -1.6696
-2.6116 -5.0642 2.9828
-0.3678 3.3984 5.4479

---

4.
! SrSI (PBE-GGA, optimized geometry); values from VASP
! * size of the total moment: 0.0 Bohr magnetons per cell
! * calculated volume: 38.39 Å³ per atom
! * raw formation energy: -0.93 eV per atom
! * electronic total energy: -20.28 eV for the cell shown
&SYSTEM
  ibrav = 0, nat = 6, ntyp = 3
/
ATOMIC_SPECIES
I 126.90 I.upf
S 32.06 S.upf
Sr 87.62 Sr.upf
ATOMIC_POSITIONS angstrom
I 4.0685 2.0180 0.0000
S 0.0000 2.0180 3.8933
I 1.3488 2.0180 0.0000
S 2.7087 0.0000 6.6403
Sr 2.7087 0.0000 3.8385
Sr 0.0000 2.0180 6.6951
CELL_PARAMETERS angstrom
5.4174 0.0000 0.0000
0.0000 4.0360 0.0000
-2.7087 -2.0180 10.5336

---

5.
! Sr3S2I (PBE-GGA, optimized geometry); values from VASP
! * size of the total moment: 1.6 Bohr magnetons per cell
! * calculated volume: 38.10 Å³ per atom
! * raw formation energy: -1.65 eV per atom
! * electronic total energy: -49.51 eV for the cell shown
&SYSTEM
  ibrav = 0, nat = 12, ntyp = 3
/
ATOMIC_SPECIES
Sr 87.62 Sr.upf
S 32.06 S.upf
I 126.90 I.upf
ATOMIC_POSITIONS angstrom
Sr -7.8896 -3.0570 2.9188
S -9.3102 2.7969 5.9299
S -3.5516 4.6995 1.8565
Sr -5.8605 2.9206 0.8909
Sr -10.6375 5.1908 6.5525
Sr -2.6724 -1.2979 -0.7755
I -5.1106 -1.2108 3.5617
Sr -5.4204 6.9499 2.8581
S 0.0000 0.0000 0.0000
Sr -7.4495 0.9723 4.8861
I -8.1994 5.1037 2.2153
S -3.9998 1.0961 -0.1529
CELL_PARAMETERS angstrom
-2.4877 -0.4143 -3.7103
-3.7192 -5.0918 5.7744
-7.1032 9.3990 3.7129

---

6.
! SrS4I (PBE-GGA, optimized geometry); values from VASP
! * size of the total moment: 0.0 Bohr magnetons per cell
! * calculated volume: 31.73 Å³ per atom
! * raw formation energy: -0.63 eV per atom
! * electronic total energy: -47.03 eV for the cell shown
&SYSTEM
  ibrav = 0, nat = 12, ntyp = 3
/
ATOMIC_SPECIES
I 126.90 I.upf
S 32.06 S.upf
Sr 87.62 Sr.upf
ATOMIC_POSITIONS angstrom
I -3.1316 -10.2499 -3.3288
S -7.0208 -4.2111 0.7519
S -0.6971 -8.7565 -6.0799
S -2.1989 -12.7167 -6.4154
S -4.5495 -6.1552 -2.0367
S -3.1684 -6.8124 -3.2913
S -5.5190 -0.2510 1.0874
I -4.5863 -2.7177 -1.9992
Sr -1.8550 -4.7339 -1.4944
S -6.1767 -12.5088 -4.8191
Sr -5.8629 -8.2337 -3.8336
S -1.5412 -0.4588 -0.5089
CELL_PARAMETERS angstrom
-5.7041 3.2652 0.7638
-0.5849 -9.7215 -7.4407
-1.4289 -6.5113 1.3488

---

7.
! SrTeSI2 (PBE-GGA, optimized geometry); values from VASP
! * size of the total moment: 4.0 Bohr magnetons per cell
! * energy above the most stable polymorph in this dataset: 504 meV per atom
! * calculated volume: 54.15 Å³ per atom
! * raw formation energy: 0.04 eV per atom
! * electronic total energy: -11.87 eV for the cell shown
&SYSTEM
  ibrav = 0, nat = 5, ntyp = 4
/
ATOMIC_SPECIES
I 126.90 I.upf
S 32.06 S.upf
Te 127.60 Te.upf
Sr 87.62 Sr.upf
ATOMIC_POSITIONS angstrom
I 0.0000 3.1857 0.0000
S 3.1857 3.1857 3.3349
Te 0.0000 0.0000 3.3349
Sr 0.0000 0.0000 0.0000
I 3.1857 0.0000 0.0000
CELL_PARAMETERS angstrom
6.3713 0.0000 0.0000
0.0000 6.3713 0.0000
0.0000 0.0000 6.6697

---

8.
! SrTeSI2 (PBE-GGA, optimized geometry); values from VASP
! * size of the total moment: 0.0 Bohr magnetons per cell
! * energy above the most stable polymorph in this dataset: 0 meV per atom
! * calculated volume: 34.45 Å³ per atom
! * raw formation energy: -0.47 eV per atom
! * electronic total energy: -14.39 eV for the cell shown
&SYSTEM
  ibrav = 0, nat = 5, ntyp = 4
/
ATOMIC_SPECIES
I 126.90 I.upf
Sr 87.62 Sr.upf
S 32.06 S.upf
Te 127.60 Te.upf
ATOMIC_POSITIONS angstrom
I -0.4218 -1.9272 -1.9815
I -1.3701 -1.5952 1.8431
Sr 0.5723 -4.7522 0.5545
S 0.0000 0.0000 0.0000
Te 2.3641 -1.2299 0.6930
CELL_PARAMETERS angstrom
-2.7401 -3.1903 3.6861
-0.8435 -3.8544 -3.9631
4.7282 -2.4597 1.3859

---

9.
! SrTlSI (PBE-GGA, optimized geometry); values from VASP
! * size of the total moment: 0.0 Bohr magnetons per cell
! * calculated volume: 36.13 Å³ per atom
! * raw formation energy: -1.32 eV per atom
! * electronic total energy: -15.02 eV for the cell shown
&SYSTEM
  ibrav = 0, nat = 4, ntyp = 4
/
ATOMIC_SPECIES
I 126.90 I.upf
Sr 87.62 Sr.upf
Tl 204.38 Tl.upf
S 32.06 S.upf
ATOMIC_POSITIONS angstrom
I 2.1172 1.1622 3.1194
Sr 2.8066 -2.8392 -0.7168
Tl 4.3716 3.5312 0.9753
S 7.0714 3.1793 -0.6126
CELL_PARAMETERS angstrom
-1.0846 0.6924 4.2731
2.5831 -3.4650 -1.1119
6.6802 5.4679 -1.5237

---

10.
! TaS3I (PBE-GGA, optimized geometry); values from VASP
! * size of the total moment: 0.0 Bohr magnetons per cell
! * energy above the most stable polymorph in this dataset: 102 meV per atom
! * calculated volume: 23.62 Å³ per atom
! * raw formation energy: -0.02 eV per atom
! * electronic total energy: -51.73 eV for the cell shown
&SYSTEM
  ibrav = 0, nat = 10, ntyp = 3
/
ATOMIC_SPECIES
I 126.90 I.upf
S 32.06 S.upf
Ta 180.95 Ta.upf
ATOMIC_POSITIONS angstrom
I 2.5972 0.0000 7.5725
S 0.0000 3.6285 2.0235
S 0.0000 1.5659 2.0235
S 0.0000 0.0000 4.8282
S -1.0313 2.5972 6.7294
I 2.5972 0.0000 1.1804
S 1.0313 2.5972 6.7294
Ta 0.0000 0.0000 0.0000
Ta 0.0000 2.5972 4.3764
S 2.5972 2.5972 3.9246
CELL_PARAMETERS angstrom
5.1943 0.0000 0.0000
0.0000 5.1943 0.0000
-2.5972 -2.5972 8.7528

---

11.
! TaS2I (PBE-GGA, optimized geometry); values from VASP
! * size of the total moment: 0.0 Bohr magnetons per cell
! * energy above the most stable polymorph in this dataset: 0 meV per atom
! * calculated volume: 28.26 Å³ per atom
! * raw formation energy: -0.70 eV per atom
! * electronic total energy: -24.47 eV for the cell shown
&SYSTEM
  ibrav = 0, nat = 4, ntyp = 3
/
ATOMIC_SPECIES
Ta 180.95 Ta.upf
S 32.06 S.upf
I 126.90 I.upf
ATOMIC_POSITIONS angstrom
Ta 1.0033 0.5801 3.6882
S 2.6929 1.5571 2.1529
S 4.3862 2.5362 5.2176
I 2.6931 1.5573 9.1539
CELL_PARAMETERS angstrom
3.3826 0.0029 -0.0021
1.6899 2.9302 -0.0021
-0.0116 -0.0067 11.4120

---

12.
! TaS2I (PBE-GGA, optimized geometry); values from VASP
! * size of the total moment: 0.0 Bohr magnetons per cell
! * energy above the most stable polymorph in this dataset: 432 meV per atom
! * calculated volume: 31.56 Å³ per atom
! * raw formation energy: -0.27 eV per atom
! * electronic total energy: -45.48 eV for the cell shown
&SYSTEM
  ibrav = 0, nat = 8, ntyp = 3
/
ATOMIC_SPECIES
I 126.90 I.upf
Ta 180.95 Ta.upf
S 32.06 S.upf
ATOMIC_POSITIONS angstrom
I -2.8837 -0.7911 7.7404
Ta -6.7941 -1.0813 4.6397
S -5.4005 0.4686 5.6094
S -8.9654 -0.3536 4.4374
I -2.7075 -2.1426 3.6150
Ta 0.0000 0.0000 0.0000
S -6.8088 -2.9421 5.9896
S -6.0018 -1.4982 2.5223
CELL_PARAMETERS angstrom
-6.6179 -2.4328 0.5143
1.2028 -1.8523 6.7158
-4.2628 2.4127 5.1500

---

13.
! TaS2I (PBE-GGA, optimized geometry); values from VASP
! * size of the total moment: 0.0 Bohr magnetons per cell
! * energy above the most stable polymorph in this dataset: 1178 meV per atom
! * calculated volume: 18.18 Å³ per atom
! * raw formation energy: 0.48 eV per atom
! * electronic total energy: -19.75 eV for the cell shown
&SYSTEM
  ibrav = 0, nat = 4, ntyp = 3
/
ATOMIC_SPECIES
S 32.06 S.upf
I 126.90 I.upf
Ta 180.95 Ta.upf
ATOMIC_POSITIONS angstrom
S 4.9693 4.9693 4.9693
S 1.6564 1.6564 1.6564
I 0.0000 0.0000 0.0000
Ta 3.3129 3.3129 3.3129
CELL_PARAMETERS angstrom
0.0000 3.3129 3.3129
3.3129 0.0000 3.3129
3.3129 3.3129 0.0000